Below is a relaxed NpCr2O6 crystal, with properties calculated at the GGA+U level.

The structure belongs to space group P-3m1 (No. 164); the cell edges are 9.0531, 9.0531 and 4.5670 Å and the angles 90.00°, 90.00° and 120.00°. The inequivalent atoms are Np at (0.0000, 0.0000, 0.0000), Np at (0.3333, 0.6667, 0.5014), Cr at (0.0000, 0.3416, 0.0000), O at (0.1101, 0.5550, 0.2384), O at (0.1167, 0.2335, 0.2109) and O at (0.2229, 0.4458, 0.7623).

For the final energy, the calculation gives -8.661 eV/atom. The density of states at the Fermi level comes out at 0.1328 states/eV per atom.